# MgCrSeN2 SCAN single point on PBEsol structure
data_MgCrSeN2
_chemical_formula_sum 'Mg1 Cr1 Se1 N2'
_space_group_name_H-M_alt 'P 4/m m m'
_space_group_IT_number 123
_space_group_name_Hall '-P 4 2'
_cell_length_a 3.9186
_cell_length_b 3.9186
_cell_length_c 5.1760
_cell_angle_alpha 90.00
_cell_angle_beta 90.00
_cell_angle_gamma 90.00
loop_
_atom_site_label
_atom_site_type_symbol
_atom_site_fract_x
_atom_site_fract_y
_atom_site_fract_z
_atom_site_occupancy
Mg1 Mg 0.0000 0.0000 0.0000 1
Cr1 Cr 0.5000 0.5000 0.5000 1
Se1 Se 0.0000 0.0000 0.5000 1
N1 N 0.0000 0.5000 0.0000 1
# Formation energy from raw total energies, eV per atom: 0.882
# V, Å³ per cell: 79

=====

# Li2La2In SCAN single point on PBEsol structure
data_Li2La2In
_chemical_formula_sum 'Li4 La4 In2'
_space_group_name_H-M_alt 'P 4/m b m'
_space_group_IT_number 127
_space_group_name_Hall '-P 4 2ab'
_cell_length_a 6.9952
_cell_length_b 6.9952
_cell_length_c 5.1016
_cell_angle_alpha 90.00
_cell_angle_beta 90.00
_cell_angle_gamma 90.00
loop_
_atom_site_label
_atom_site_type_symbol
_atom_site_fract_x
_atom_site_fract_y
_atom_site_fract_z
_atom_site_occupancy
Li1 Li 0.1314 0.3686 0.0000 1
La1 La 0.1821 0.6821 0.5000 1
In1 In 0.0000 0.0000 0.0000 1
# Formation energy, kJ/mol of formula units: -125
# V, Å³ per cell: 250

=====

# Zr2CuAs SCAN single point on PBEsol structure
data_Zr2CuAs
_chemical_formula_sum 'Zr4 Cu2 As2'
_space_group_name_H-M_alt 'C m m m'
_space_group_IT_number 65
_space_group_name_Hall '-C 2 2'
_cell_length_a 4.0519
_cell_length_b 4.8754
_cell_length_c 7.1884
_cell_angle_alpha 90.00
_cell_angle_beta 90.00
_cell_angle_gamma 90.00
loop_
_atom_site_label
_atom_site_type_symbol
_atom_site_fract_x
_atom_site_fract_y
_atom_site_fract_z
_atom_site_occupancy
Zr1 Zr 0.0000 0.0000 0.2493 1
Cu1 Cu 0.0000 0.5000 0.5000 1
As1 As 0.0000 0.5000 0.0000 1
# Formation energy, kJ/mol of formula units: -175
# V, Å³ per cell: 142

=====

# Li5Mg3 SCAN single point on PBEsol structure
data_Li5Mg3
_chemical_formula_sum 'Li20 Mg12'
_space_group_name_H-M_alt 'I 4/m c m'
_space_group_IT_number 140
_space_group_name_Hall '-I 4 2c'
_cell_length_a 10.9659
_cell_length_b 10.9659
_cell_length_c 5.4624
_cell_angle_alpha 90.00
_cell_angle_beta 90.00
_cell_angle_gamma 90.00
loop_
_atom_site_label
_atom_site_type_symbol
_atom_site_fract_x
_atom_site_fract_y
_atom_site_fract_z
_atom_site_occupancy
Li1 Li 0.0000 0.5000 0.2500 1
Li2 Li 0.0710 0.2337 0.0000 1
Mg1 Mg 0.0000 0.0000 0.2500 1
Mg2 Mg 0.1772 0.3228 0.5000 1
# Energy above the lowest structure with this stoichiometry, eV/f.u.: 0.586
# Formation energy, kJ/mol of formula units: 28
# V, Å³ per cell: 657

=====

# IrPbCl2 SCAN single point on PBEsol structure
data_IrPbCl2
_chemical_formula_sum 'Ir2 Pb2 Cl4'
_space_group_name_H-M_alt 'I 4/m m m'
_space_group_IT_number 139
_space_group_name_Hall '-I 4 2'
_cell_length_a 4.8046
_cell_length_b 4.8046
_cell_length_c 6.8171
_cell_angle_alpha 90.00
_cell_angle_beta 90.00
_cell_angle_gamma 90.00
loop_
_atom_site_label
_atom_site_type_symbol
_atom_site_fract_x
_atom_site_fract_y
_atom_site_fract_z
_atom_site_occupancy
Ir1 Ir 0.0000 0.0000 0.0000 1
Pb1 Pb 0.0000 0.0000 0.5000 1
Cl1 Cl 0.0000 0.5000 0.2500 1
# Energy above the lowest structure with this stoichiometry, eV/f.u.: 1.979
# Formation energy from raw total energies, eV per atom: 0.658
# V, Å³ per cell: 157

=====

# IrF6 SCAN single point on PBEsol structure
data_IrF6
_chemical_formula_sum 'Ir4 F24'
_space_group_name_H-M_alt 'P n m a'
_space_group_IT_number 62
_cell_length_a 9.5448
_cell_length_b 8.6996
_cell_length_c 5.0463
_cell_angle_alpha 90.00
_cell_angle_beta 90.00
_cell_angle_gamma 90.00
loop_
_space_group_symop_operation_xyz
'x,y,z'
'-x,-y,-z'
'-x+1/2,-y,z+1/2'
'x+1/2,y,-z+1/2'
'x+1/2,-y+1/2,-z+1/2'
'-x+1/2,y+1/2,z+1/2'
'-x,y+1/2,-z'
'x,-y+1/2,z'
loop_
_atom_site_label
_atom_site_type_symbol
_atom_site_fract_x
_atom_site_fract_y
_atom_site_fract_z
_atom_site_occupancy
Ir1 Ir 0.1267 0.2500 0.0895 1
F1 F 0.0112 0.2500 0.7925 1
F2 F 0.0155 0.0989 0.2442 1
F3 F 0.2379 0.0990 0.9356 1
F4 F 0.2417 0.2500 0.3875 1
# Formation energy from raw total energies, eV per atom: -1.503
# V, Å³ per cell: 419

=====

# KRh3W SCAN single point on PBEsol structure
data_KRh3W
_chemical_formula_sum 'K1 Rh3 W1'
_space_group_name_H-M_alt 'P m -3 m'
_space_group_IT_number 221
_space_group_name_Hall '-P 4 2 3'
_cell_length_a 4.7269
_cell_length_b 4.7269
_cell_length_c 4.7269
_cell_angle_alpha 90.00
_cell_angle_beta 90.00
_cell_angle_gamma 90.00
loop_
_atom_site_label
_atom_site_type_symbol
_atom_site_fract_x
_atom_site_fract_y
_atom_site_fract_z
_atom_site_occupancy
K1 K 0.0000 0.0000 0.0000 1
Rh1 Rh 0.0000 0.5000 0.5000 1
W1 W 0.5000 0.5000 0.5000 1
# Formation energy, kJ/mol of formula units: 396
# V, Å³ per cell: 106

=====

# RhAu SCAN single point on PBEsol structure
data_RhAu
_chemical_formula_sum 'Rh4 Au4'
_space_group_name_H-M_alt 'C 1 2/m 1'
_space_group_IT_number 12
_cell_length_a 10.1943
_cell_length_b 2.7788
_cell_length_c 4.7733
_cell_angle_alpha 90.00
_cell_angle_beta 115.78
_cell_angle_gamma 90.00
loop_
_space_group_symop_operation_xyz
'x,y,z'
'-x,-y,-z'
'-x,y,-z'
'x,-y,z'
'x+1/2,y+1/2,z'
'-x+1/2,-y+1/2,-z'
'-x+1/2,y+1/2,-z'
'x+1/2,-y+1/2,z'
loop_
_atom_site_label
_atom_site_type_symbol
_atom_site_fract_x
_atom_site_fract_y
_atom_site_fract_z
_atom_site_occupancy
Rh1 Rh 0.1331 0.0000 0.4571 1
Au1 Au 0.1205 0.5000 0.9419 1
# Formation energy, kJ/mol of formula units: 39
# V, Å³ per cell: 122

=====

# MnCd2Hg SCAN single point on PBEsol structure
data_MnCd2Hg
_chemical_formula_sum 'Mn3 Cd6 Hg3'
_space_group_name_H-M_alt 'R 3 m'
_space_group_IT_number 160
_space_group_name_Hall 'R 3 -2"'
_cell_length_a 3.0489
_cell_length_b 3.0489
_cell_length_c 28.4498
_cell_angle_alpha 90.00
_cell_angle_beta 90.00
_cell_angle_gamma 120.00
loop_
_atom_site_label
_atom_site_type_symbol
_atom_site_fract_x
_atom_site_fract_y
_atom_site_fract_z
_atom_site_occupancy
Mn1 Mn 0.0000 0.0000 0.0000 1
Cd1 Cd 0.0000 0.0000 0.5002 1
Cd2 Cd 0.0000 0.0000 0.7442 1
Hg1 Hg 0.0000 0.0000 0.2566 1
# Formation energy, kJ/mol of formula units: 20
# V, Å³ per cell: 229

=====

# KCa2Os SCAN single point on PBEsol structure
data_KCa2Os
_chemical_formula_sum 'K1 Ca2 Os1'
_space_group_name_H-M_alt 'P 1 m 1'
_space_group_IT_number 6
_cell_length_a 3.2001
_cell_length_b 4.7522
_cell_length_c 8.8573
_cell_angle_alpha 90.00
_cell_angle_beta 90.05
_cell_angle_gamma 90.00
loop_
_space_group_symop_operation_xyz
'x,y,z'
'x,-y,z'
loop_
_atom_site_label
_atom_site_type_symbol
_atom_site_fract_x
_atom_site_fract_y
_atom_site_fract_z
_atom_site_occupancy
K1 K 0.0000 0.0000 0.0000 1
Ca1 Ca 0.4943 0.5000 0.3810 1
Ca2 Ca 0.4947 0.0000 0.6329 1
Os1 Os 0.9945 0.5000 0.6569 1
# Energy above the lowest structure with this stoichiometry, eV/f.u.: 0.000
# Formation energy, kJ/mol of formula units: 267
# V, Å³ per cell: 135

=====

# ScAlZnC2 SCAN single point on PBEsol structure
data_ScAlZnC2
_chemical_formula_sum 'Sc1 Al1 Zn1 C2'
_space_group_name_H-M_alt 'P 4/m m m'
_space_group_IT_number 123
_space_group_name_Hall '-P 4 2'
_cell_length_a 4.1307
_cell_length_b 4.1307
_cell_length_c 5.0809
_cell_angle_alpha 90.00
_cell_angle_beta 90.00
_cell_angle_gamma 90.00
loop_
_atom_site_label
_atom_site_type_symbol
_atom_site_fract_x
_atom_site_fract_y
_atom_site_fract_z
_atom_site_occupancy
Sc1 Sc 0.0000 0.0000 0.0000 1
Al1 Al 0.5000 0.5000 0.5000 1
Zn1 Zn 0.0000 0.0000 0.5000 1
C1 C 0.0000 0.5000 0.0000 1
# Formation energy, kJ/mol of formula units: 887
# V, Å³ per cell: 87

=====

# ZrSiAs2 SCAN single point on PBEsol structure
data_ZrSiAs2
_chemical_formula_sum 'Zr1 Si1 As2'
_space_group_name_H-M_alt 'P 1 m 1'
_space_group_IT_number 6
_cell_length_a 3.7912
_cell_length_b 3.7407
_cell_length_c 5.4323
_cell_angle_alpha 90.00
_cell_angle_beta 110.14
_cell_angle_gamma 90.00
loop_
_space_group_symop_operation_xyz
'x,y,z'
'x,-y,z'
loop_
_atom_site_label
_atom_site_type_symbol
_atom_site_fract_x
_atom_site_fract_y
_atom_site_fract_z
_atom_site_occupancy
Zr1 Zr 0.0000 0.0000 0.0000 1
Si1 Si 0.9148 0.5000 0.6104 1
As1 As 0.3170 0.0000 0.5762 1
As2 As 0.5761 0.5000 0.1574 1
# Energy above the lowest structure with this stoichiometry, eV/f.u.: 0.000
# Formation energy from raw total energies, eV per atom: -0.701
# V, Å³ per cell: 72

=====

# Y2PtPb SCAN single point on PBEsol structure
data_Y2PtPb
_chemical_formula_sum 'Y8 Pt4 Pb4'
_space_group_name_H-M_alt 'F -4 3 m'
_space_group_IT_number 216
_space_group_name_Hall 'F -4 2 3'
_cell_length_a 7.1278
_cell_length_b 7.1278
_cell_length_c 7.1278
_cell_angle_alpha 90.00
_cell_angle_beta 90.00
_cell_angle_gamma 90.00
loop_
_atom_site_label
_atom_site_type_symbol
_atom_site_fract_x
_atom_site_fract_y
_atom_site_fract_z
_atom_site_occupancy
Y1 Y 0.0000 0.0000 0.0000 1
Y2 Y 0.2500 0.2500 0.2500 1
Pt1 Pt 0.2500 0.2500 0.7500 1
Pb1 Pb 0.0000 0.0000 0.5000 1
# Formation energy, kJ/mol of formula units: -156
# V, Å³ per cell: 362

=====

# AsRu2WI SCAN single point on PBEsol structure
data_AsRu2WI
_chemical_formula_sum 'As1 Ru2 W1 I1'
_space_group_name_H-M_alt 'P 4/m m m'
_space_group_IT_number 123
_space_group_name_Hall '-P 4 2'
_cell_length_a 4.6721
_cell_length_b 4.6721
_cell_length_c 5.1400
_cell_angle_alpha 90.00
_cell_angle_beta 90.00
_cell_angle_gamma 90.00
loop_
_atom_site_label
_atom_site_type_symbol
_atom_site_fract_x
_atom_site_fract_y
_atom_site_fract_z
_atom_site_occupancy
As1 As 0.0000 0.0000 0.0000 1
Ru1 Ru 0.0000 0.5000 0.5000 1
W1 W 0.5000 0.5000 0.0000 1
I1 I 0.0000 0.0000 0.5000 1
# Formation energy from raw total energies, eV per atom: 2.578
# V, Å³ per cell: 112